The following is a DFT calculation (PBE) of a geometry-optimized Na2MgBeO4 structure. Values from VASP.

The structure in Quantum ESPRESSO input format:
```
&SYSTEM
  ibrav = 0, nat = 8, ntyp = 4
/
ATOMIC_SPECIES
Na 22.99 Na.upf
Mg 24.30 Mg.upf
Be 9.01 Be.upf
O 16.00 O.upf
CELL_PARAMETERS angstrom
-2.883 2.883 2.739
2.883 -2.883 2.739
2.883 2.883 -2.739
ATOMIC_POSITIONS crystal
Na 0.000 0.500 0.500
Na 0.500 0.000 0.500
Mg 0.000 0.000 0.000
Be 0.500 0.500 0.000
O 0.145 0.145 0.714
O 0.431 0.431 0.286
O 0.569 0.855 0.000
O 0.855 0.569 0.000
```

Properties
**Size of the total moment**: 2.00 μB per cell
**E_form (uncorrected)**: -12.53 eV per formula unit

---

The following is a DFT calculation (PBE) of a geometry-optimized Ac8PtSe4S3 structure. Values from VASP.

The structure in Quantum ESPRESSO input format:
```
&SYSTEM
  ibrav = 0, nat = 16, ntyp = 4
/
ATOMIC_SPECIES
Ac 227.00 Ac.upf
Pt 195.08 Pt.upf
Se 78.96 Se.upf
S 32.06 S.upf
CELL_PARAMETERS angstrom
4.400 2.540 7.290
-4.400 2.540 7.290
0.000 -5.081 7.290
ATOMIC_POSITIONS crystal
Ac 0.245 0.245 0.245
Ac 0.248 0.744 0.744
Ac 0.256 0.256 0.752
Ac 0.256 0.752 0.256
Ac 0.744 0.248 0.744
Ac 0.744 0.744 0.248
Ac 0.752 0.256 0.256
Ac 0.755 0.755 0.755
Pt 0.500 0.500 0.500
Se 0.000 0.000 0.000
Se 0.000 0.500 0.500
Se 0.500 0.000 0.500
Se 0.500 0.500 0.000
S 0.000 0.000 0.500
S 0.000 0.500 0.000
S 0.500 0.000 0.000
```

Properties
**Size of the total moment**: 0.00 μB per cell
**E_form (uncorrected)**: -29.30 eV per formula unit

---

The following is a DFT calculation (PBE) of a geometry-optimized ZrCoI2 structure. Values from VASP.

The structure in Quantum ESPRESSO input format:
```
&SYSTEM
  ibrav = 0, nat = 8, ntyp = 3
/
ATOMIC_SPECIES
Zr 91.22 Zr.upf
Co 58.93 Co.upf
I 126.90 I.upf
CELL_PARAMETERS angstrom
-3.167 3.167 5.574
3.167 -3.167 5.574
3.167 3.167 -5.574
ATOMIC_POSITIONS crystal
Zr 0.000 0.000 0.000
Zr 0.750 0.250 0.500
Co 0.250 0.750 0.500
Co 0.500 0.500 0.000
I 0.176 0.625 0.051
I 0.375 0.426 0.551
I 0.574 0.125 0.949
I 0.875 0.824 0.449
```

Properties
**Size of the total moment**: 0.00 μB per cell
**Energy above the lowest structure with this stoichiometry**: 0.00 eV/f.u.
**E_form (uncorrected)**: 1.56 eV per formula unit

---

The following is a DFT calculation (PBE) of a geometry-optimized CuCl2O2 structure. Values from VASP.

The structure in Quantum ESPRESSO input format:
```
&SYSTEM
  ibrav = 0, nat = 10, ntyp = 3
/
ATOMIC_SPECIES
Cu 63.55 Cu.upf
Cl 35.45 Cl.upf
O 16.00 O.upf
CELL_PARAMETERS angstrom
7.120 0.000 0.000
0.000 4.098 0.000
0.000 0.000 6.900
ATOMIC_POSITIONS crystal
Cu 0.000 0.000 0.000
Cu 0.500 0.000 0.500
Cl 0.000 0.316 0.254
Cl 0.000 0.684 0.746
Cl 0.500 0.316 0.246
Cl 0.500 0.684 0.754
O 0.247 0.000 0.000
O 0.253 0.000 0.500
O 0.747 0.000 0.500
O 0.753 0.000 0.000
```

Properties
**Size of the total moment**: 6.00 μB per cell
**Energy above the lowest structure with this stoichiometry**: 3.57 eV/f.u.
**E_form (uncorrected)**: 2.13 eV per formula unit

---

The following is a DFT calculation (PBE) of a geometry-optimized Li2TaCuF structure. Values from VASP.

The structure in Quantum ESPRESSO input format:
```
&SYSTEM
  ibrav = 0, nat = 5, ntyp = 4
/
ATOMIC_SPECIES
Li 6.94 Li.upf
Ta 180.95 Ta.upf
Cu 63.55 Cu.upf
F 19.00 F.upf
CELL_PARAMETERS angstrom
5.062 0.000 0.000
0.000 5.062 0.000
0.000 0.000 3.607
ATOMIC_POSITIONS crystal
Li 0.000 0.500 0.000
Li 0.500 0.000 0.000
Ta 0.000 0.000 0.500
Cu 0.500 0.500 0.000
F 0.500 0.500 0.500
```

Properties
**Size of the total moment**: 3.17 μB per cell
**E_form (uncorrected)**: 2.83 eV per formula unit

---

The following is a DFT calculation (PBE) of a geometry-optimized LiPmSc2 structure. Values from VASP.

The structure in Quantum ESPRESSO input format:
```
&SYSTEM
  ibrav = 0, nat = 4, ntyp = 3
/
ATOMIC_SPECIES
Li 6.94 Li.upf
Pm 145.00 Pm.upf
Sc 44.96 Sc.upf
CELL_PARAMETERS angstrom
5.373 0.000 0.000
0.000 5.373 0.000
0.000 0.000 3.573
ATOMIC_POSITIONS crystal
Li 0.000 0.000 0.000
Pm 0.500 0.500 0.000
Sc 0.000 0.500 0.500
Sc 0.500 0.000 0.500
```

Properties
**Size of the total moment**: 0.90 μB per cell
**Formation enthalpy at 0 K**: 0.95 eV/f.u.
**Energy above the lowest structure with this stoichiometry**: 0.44 eV/f.u.

---

The following is a DFT calculation (PBE) of a geometry-optimized CsCa2PrBr8 structure. Values from VASP.

The structure in Quantum ESPRESSO input format:
```
&SYSTEM
  ibrav = 0, nat = 12, ntyp = 4
/
ATOMIC_SPECIES
Cs 132.91 Cs.upf
Ca 40.08 Ca.upf
Pr 140.91 Pr.upf
Br 79.90 Br.upf
CELL_PARAMETERS angstrom
6.934 0.000 0.000
0.097 7.208 0.000
0.011 0.008 9.393
ATOMIC_POSITIONS crystal
Cs 0.000 0.000 0.000
Ca 0.500 0.500 0.245
Ca 0.500 0.500 0.755
Pr 0.000 0.000 0.500
Br 0.254 0.827 0.709
Br 0.255 0.828 0.290
Br 0.265 0.330 0.500
Br 0.272 0.395 0.000
Br 0.728 0.605 0.000
Br 0.735 0.670 0.500
Br 0.745 0.172 0.710
Br 0.746 0.173 0.291
```

Properties
**Size of the total moment**: 0.00 μB per cell
**E_form (uncorrected)**: -22.68 eV per formula unit

---

The following is a DFT calculation (PBE) of a geometry-optimized TaCoP2 structure. Values from VASP.

The structure in Quantum ESPRESSO input format:
```
&SYSTEM
  ibrav = 0, nat = 4, ntyp = 3
/
ATOMIC_SPECIES
Ta 180.95 Ta.upf
Co 58.93 Co.upf
P 30.97 P.upf
CELL_PARAMETERS angstrom
0.000 3.017 3.017
3.017 0.000 3.017
3.017 3.017 0.000
ATOMIC_POSITIONS crystal
Ta 0.000 0.000 0.000
Co 0.250 0.250 0.250
P 0.500 0.500 0.500
P 0.750 0.750 0.750
```

Properties
**Size of the total moment**: 0.00 μB per cell
**Formation enthalpy at 0 K**: 0.72 eV/f.u.
**Energy above the lowest structure with this stoichiometry**: 2.76 eV/f.u.

---

The following is a DFT calculation (PBE) of a geometry-optimized CrGaIr structure. Values from VASP.

The structure in Quantum ESPRESSO input format:
```
&SYSTEM
  ibrav = 0, nat = 6, ntyp = 3
/
ATOMIC_SPECIES
Cr 52.00 Cr.upf
Ga 69.72 Ga.upf
Ir 192.22 Ir.upf
CELL_PARAMETERS angstrom
4.438 0.000 0.000
1.569 4.555 0.000
0.786 2.270 4.178
ATOMIC_POSITIONS crystal
Cr 0.000 0.000 0.000
Cr 0.500 0.147 0.706
Ga 0.000 0.652 0.697
Ga 0.999 0.322 0.357
Ir 0.500 0.480 0.039
Ir 0.500 0.820 0.362
```

Properties
**Size of the total moment**: 0.73 μB per cell
**Formation enthalpy at 0 K**: -0.42 eV/f.u.

---

The following is a DFT calculation (PBE) of a geometry-optimized YMg2N structure. Values from VASP.

The structure in Quantum ESPRESSO input format:
```
&SYSTEM
  ibrav = 0, nat = 8, ntyp = 3
/
ATOMIC_SPECIES
Y 88.91 Y.upf
Mg 24.30 Mg.upf
N 14.01 N.upf
CELL_PARAMETERS angstrom
0.000 4.554 4.554
4.554 0.000 4.554
4.554 4.554 0.000
ATOMIC_POSITIONS crystal
Y 0.125 0.125 0.125
Y 0.875 0.875 0.875
Mg 0.000 0.500 0.500
Mg 0.500 0.000 0.500
Mg 0.500 0.500 0.000
Mg 0.500 0.500 0.500
N 0.375 0.375 0.375
N 0.625 0.625 0.625
```

Properties
**Size of the total moment**: 1.13 μB per cell
**E_form (uncorrected)**: 0.05 eV per formula unit

---

The following is a DFT calculation (PBE) of a geometry-optimized SmThNb4 structure. Values from VASP.

The structure in Quantum ESPRESSO input format:
```
&SYSTEM
  ibrav = 0, nat = 6, ntyp = 3
/
ATOMIC_SPECIES
Sm 150.36 Sm.upf
Th 232.04 Th.upf
Nb 92.91 Nb.upf
CELL_PARAMETERS angstrom
0.000 4.079 4.079
4.079 0.000 4.079
4.079 4.079 0.000
ATOMIC_POSITIONS crystal
Sm 0.000 0.000 0.000
Th 0.750 0.750 0.750
Nb 0.375 0.375 0.375
Nb 0.375 0.375 0.876
Nb 0.375 0.876 0.375
Nb 0.876 0.375 0.375
```

Properties
**Size of the total moment**: 0.00 μB per cell
**Formation enthalpy at 0 K**: 0.74 eV/f.u.

---

The following is a DFT calculation (PBE) of a geometry-optimized ScAsPb2 structure. Values from VASP.

The structure in Quantum ESPRESSO input format:
```
&SYSTEM
  ibrav = 0, nat = 4, ntyp = 3
/
ATOMIC_SPECIES
Sc 44.96 Sc.upf
As 74.92 As.upf
Pb 207.20 Pb.upf
CELL_PARAMETERS angstrom
-2.167 2.167 5.381
2.167 -2.167 5.381
2.167 2.167 -5.381
ATOMIC_POSITIONS crystal
Sc 0.000 0.000 0.000
As 0.500 0.500 0.000
Pb 0.250 0.750 0.500
Pb 0.750 0.250 0.500
```

Properties
**Size of the total moment**: 0.00 μB per cell
**Formation enthalpy at 0 K**: -0.73 eV/f.u.

---

- What is the size of the total moment in the seventh record?
  0.00 μB per cell

---

- Look up the size of the total moment of the twelfth one.
  0.00 μB per cell

---

- Which value of size of the total moment does entry 8 give?
  0.00 μB per cell

---

- The highest size of the total moment belongs to which entry?
  CuCl2O2